# K2PmFeO4 | Alexandria | GGA+U | relaxed
# E_tot: -5.965 eV per atom
# symmetry: Imma (74)
# spin magnetization: 5.10 μB per formula unit
data_K2PmFeO4
_space_group_name_H-M_alt 'P 1'
_space_group_IT_number 1
_cell_length_a 6.979
_cell_length_b 6.979
_cell_length_c 7.208
_cell_angle_alpha 121.08
_cell_angle_beta 121.08
_cell_angle_gamma 89.43
loop_
_space_group_symop_operation_xyz
'x,y,z'
loop_
_atom_site_label
_atom_site_fract_x
_atom_site_fract_y
_atom_site_fract_z
_atom_site_occupancy
O1 0.746 0.310 0.528 1
O2 0.760 0.739 0.553 1
K1 0.500 0.500 0.000 1
O3 0.239 0.260 0.053 1
K2 0.000 0.000 0.500 1
O4 0.190 0.754 0.972 1
Pm1 0.000 0.500 0.500 1
Fe1 0.000 0.000 0.000 1
Pm2 0.000 0.500 0.000 1
Fe2 0.500 0.500 0.500 1
O5 0.761 0.740 0.947 1
O6 0.810 0.246 0.028 1
O7 0.240 0.261 0.447 1
K3 0.500 0.000 0.500 1
O8 0.254 0.690 0.472 1
K4 0.500 0.000 0.000 1